No. 1
A plane-wave DFT calculation with GGA-PBE was carried out for KBeHg2 after structural relaxation.

E = -1.21 eV/atom
calculated volume = 270 Å³/cell

Lattice parameters (Å, degrees): 8.4697 8.4697 8.4697 137.88 137.88 61.08
Element x y z (fractional)
K (0.0000, 0.0000, 0.0000)
K (0.7500, 0.2500, 0.5000)
Be (0.2500, 0.7500, 0.5000)
Be (0.5000, 0.5000, 0.0000)
Hg (0.3732, 0.1250, 0.7482)
Hg (0.3750, 0.6268, 0.7518)
Hg (0.3768, 0.6250, 0.2518)
Hg (0.8750, 0.6232, 0.2482)

No. 2
A plane-wave DFT calculation with GGA-PBE was carried out for KLiBeHg2 after structural relaxation.

E = -1.45 eV/atom
calculated volume = 121 Å³/cell

Lattice parameters (Å, degrees): 4.8333 4.8333 5.1790 90.00 90.00 90.00
Element x y z (fractional)
K (0.0000, 0.0000, 0.0000)
Li (0.5000, 0.5000, 0.0000)
Be (0.5000, 0.5000, 0.5000)
Hg (0.0000, 0.5000, 0.5000)
Hg (0.5000, 0.0000, 0.5000)

No. 3
A plane-wave DFT calculation with GGA-PBE was carried out for KMg2BeHg after structural relaxation.

E = -0.45 eV/atom
calculated volume = 286 Å³/cell

Lattice parameters (Å, degrees): 6.8276 6.8276 6.1352 90.00 90.00 90.00
Element x y z (fractional)
K (0.0000, 0.0000, 0.0000)
Mg (0.0000, 0.5000, 0.0000)
Mg (0.5000, 0.0000, 0.0000)
Be (0.0000, 0.0000, 0.5000)
Hg (0.5000, 0.5000, 0.5000)

No. 4
A plane-wave DFT calculation with GGA-PBE was carried out for KMnBeHg2 after structural relaxation.

E = -1.49 eV/atom
calculated volume = 275 Å³/cell

Lattice parameters (Å, degrees): 6.4774 6.4774 6.5512 90.00 90.00 90.00
Element x y z (fractional)
K (0.0000, 0.0000, 0.0000)
Mn (0.0000, 0.0000, 0.5000)
Be (0.5000, 0.5000, 0.5000)
Hg (0.0000, 0.5000, 0.0000)
Hg (0.5000, 0.0000, 0.0000)

No. 5
A plane-wave DFT calculation with GGA-PBE was carried out for KBeHgRh2 after structural relaxation.

E = -2.42 eV/atom
calculated volume = 146 Å³/cell

Lattice parameters (Å, degrees): 5.0857 5.0857 5.6610 90.00 90.00 90.00
Element x y z (fractional)
K (0.0000, 0.0000, 0.0000)
Be (0.5000, 0.5000, 0.0000)
Hg (0.0000, 0.0000, 0.5000)
Rh (0.0000, 0.5000, 0.5000)
Rh (0.5000, 0.0000, 0.5000)

No. 6
A plane-wave DFT calculation with GGA-PBE was carried out for KY2BeHg after structural relaxation.

E = -2.21 eV/atom
calculated volume = 141 Å³/cell

Lattice parameters (Å, degrees): 5.5795 5.5795 4.5227 90.00 90.00 90.00
Element x y z (fractional)
K (0.0000, 0.0000, 0.0000)
Y (0.0000, 0.5000, 0.0000)
Y (0.5000, 0.0000, 0.0000)
Be (0.0000, 0.0000, 0.5000)
Hg (0.5000, 0.5000, 0.5000)

no.,size of the total moment (μB per cell)
1,0.0
2,0.0
3,0.0
4,4.4
5,0.8
6,0.0